1.
This record from Alexandria via LeMat-Bulk describes a geometry-optimized Ac3La2PrAs6 structure. The functional is PBE-GGA.

Computed properties:
* total energy: -6.079 eV per atom
* Fermi-level density of states: 1.1 states/eV/f.u.
* ΔE_f: -1.51 eV/atom
* V: 749.8 Å³ per cell
* crystal system: monoclinic

Geometry as CIF:
```
data_Ac3La2PrAs6
_cell_length_a 19.412
_cell_length_b 4.455
_cell_length_c 8.910
_cell_angle_alpha 90.00
_cell_angle_beta 103.31
_cell_angle_gamma 90.00
_space_group_name_H-M_alt 'C 1 2/m 1'
_space_group_IT_number 12
_space_group_name_Hall '-C 2y'
loop_
_atom_site_label
_atom_site_type_symbol
_atom_site_fract_x
_atom_site_fract_y
_atom_site_fract_z
Ac1 Ac 0.000 0.000 0.000
Ac2 Ac 0.167 0.500 0.333
La1 La 0.166 0.500 0.832
Pr1 Pr 0.000 0.000 0.500
As1 As 0.002 0.500 0.743
As2 As 0.164 0.000 0.588
As3 As 0.169 0.000 0.078
```

---

2.
This record from Alexandria via LeMat-Bulk describes a geometry-optimized AcLa2Pr3As6 structure. The functional is PBE-GGA.

Computed properties:
* total energy: -6.198 eV per atom
* Fermi-level density of states: 1.4 states/eV/f.u.
* ΔE_f: -1.51 eV/atom
* V: 709.8 Å³ per cell
* crystal system: monoclinic

Geometry as CIF:
```
data_AcLa2Pr3As6
_cell_length_a 19.060
_cell_length_b 4.374
_cell_length_c 8.750
_cell_angle_alpha 90.00
_cell_angle_beta 103.33
_cell_angle_gamma 90.00
_space_group_name_H-M_alt 'C 1 2/m 1'
_space_group_IT_number 12
_space_group_name_Hall '-C 2y'
loop_
_atom_site_label
_atom_site_type_symbol
_atom_site_fract_x
_atom_site_fract_y
_atom_site_fract_z
Ac1 Ac 0.000 0.000 0.000
La1 La 0.168 0.500 0.335
Pr1 Pr 0.000 0.000 0.500
Pr2 Pr 0.167 0.500 0.832
As1 As 0.000 0.500 0.258
As2 As 0.166 0.000 0.584
As3 As 0.170 0.000 0.083
```

---

3.
This record from Alexandria via LeMat-Bulk describes a geometry-optimized Ac2LaPrAs4 structure. The functional is PBE-GGA.

Computed properties:
* total energy: -6.066 eV per atom
* Fermi-level density of states: 0.6 states/eV/f.u.
* ΔE_f: -1.50 eV/atom
* V: 248.9 Å³ per cell
* crystal system: monoclinic

Geometry as CIF:
```
data_Ac2LaPrAs4
_cell_length_a 7.700
_cell_length_b 4.448
_cell_length_c 7.706
_cell_angle_alpha 90.00
_cell_angle_beta 109.42
_cell_angle_gamma 90.00
_space_group_name_H-M_alt 'P 1 2/m 1'
_space_group_IT_number 10
_space_group_name_Hall '-P 2y'
loop_
_atom_site_label
_atom_site_type_symbol
_atom_site_fract_x
_atom_site_fract_y
_atom_site_fract_z
Ac1 Ac 0.000 0.000 0.000
Ac2 Ac 0.500 0.500 0.000
La1 La 0.000 0.500 0.500
Pr1 Pr 0.500 0.000 0.500
As1 As 0.247 0.000 0.739
As2 As 0.255 0.500 0.261
```

---

4.
This record from Alexandria via LeMat-Bulk describes a geometry-optimized Ac2LaPuAs4 structure. The functional is PBE-GGA.

Computed properties:
* total energy: -7.106 eV per atom
* Fermi-level density of states: 15.4 states/eV/f.u.
* ΔE_f: -1.35 eV/atom
* V: 242.2 Å³ per cell
* crystal system: monoclinic

Geometry as CIF:
```
data_Ac2LaPuAs4
_cell_length_a 7.631
_cell_length_b 4.412
_cell_length_c 7.631
_cell_angle_alpha 90.00
_cell_angle_beta 109.48
_cell_angle_gamma 90.00
_space_group_name_H-M_alt 'P 1 2/m 1'
_space_group_IT_number 10
_space_group_name_Hall '-P 2y'
loop_
_atom_site_label
_atom_site_type_symbol
_atom_site_fract_x
_atom_site_fract_y
_atom_site_fract_z
Ac1 Ac 0.000 0.000 0.000
Ac2 Ac 0.000 0.500 0.500
La1 La 0.500 0.000 0.500
Pu1 Pu 0.500 0.500 0.000
As1 As 0.265 0.500 0.249
As2 As 0.271 0.000 0.764
```

---

5.
This record from Alexandria via LeMat-Bulk describes a geometry-optimized AcLaPu2As4 structure. The functional is PBE-GGA.

Computed properties:
* total energy: -8.276 eV per atom
* Fermi-level density of states: 24.7 states/eV/f.u.
* ΔE_f: -1.24 eV/atom
* V: 224.8 Å³ per cell
* crystal system: monoclinic

Geometry as CIF:
```
data_AcLaPu2As4
_cell_length_a 7.431
_cell_length_b 4.305
_cell_length_c 7.457
_cell_angle_alpha 90.00
_cell_angle_beta 109.52
_cell_angle_gamma 90.00
_space_group_name_H-M_alt 'P 1 2/m 1'
_space_group_IT_number 10
_space_group_name_Hall '-P 2y'
loop_
_atom_site_label
_atom_site_type_symbol
_atom_site_fract_x
_atom_site_fract_y
_atom_site_fract_z
Ac1 Ac 0.000 0.000 0.000
La1 La 0.000 0.500 0.500
Pu1 Pu 0.500 0.000 0.500
Pu2 Pu 0.500 0.500 0.000
As1 As 0.270 0.000 0.752
As2 As 0.274 0.500 0.263
```

---

6.
This record from Alexandria via LeMat-Bulk describes a geometry-optimized AcLaAs2Rh5 structure. The functional is PBE-GGA.

Computed properties:
* total energy: -6.730 eV per atom
* Fermi-level density of states: 4.9 states/eV/f.u.
* ΔE_f: -0.61 eV/atom
* V: 197.2 Å³ per cell
* crystal system: tetragonal

Geometry as CIF:
```
data_AcLaAs2Rh5
_cell_length_a 4.151
_cell_length_b 4.151
_cell_length_c 11.444
_cell_angle_alpha 90.00
_cell_angle_beta 90.00
_cell_angle_gamma 90.00
_space_group_name_H-M_alt 'P 4/m m m'
_space_group_IT_number 123
_space_group_name_Hall '-P 4 2'
loop_
_atom_site_label
_atom_site_type_symbol
_atom_site_fract_x
_atom_site_fract_y
_atom_site_fract_z
Ac1 Ac 0.000 0.000 0.000
La1 La 0.000 0.000 0.500
As1 As 0.500 0.500 0.209
Rh1 Rh 0.000 0.500 0.312
Rh2 Rh 0.500 0.500 0.000
```

---

7.
This record from Alexandria via LeMat-Bulk describes a geometry-optimized AcLaAs2Rh2 structure. The functional is PBE-GGA.

Computed properties:
* total energy: -6.622 eV per atom
* Fermi-level density of states: 5.9 states/eV/f.u.
* ΔE_f: -1.12 eV/atom
* V: 137.9 Å³ per cell
* crystal system: trigonal

Geometry as CIF:
```
data_AcLaAs2Rh2
_cell_length_a 4.3133
_cell_length_b 4.3133
_cell_length_c 8.5609
_cell_angle_alpha 90.00
_cell_angle_beta 90.00
_cell_angle_gamma 120.00
_space_group_name_H-M_alt 'P -3 m 1'
_space_group_IT_number 164
_space_group_name_Hall '-P 3 2"'
loop_
_atom_site_label
_atom_site_type_symbol
_atom_site_fract_x
_atom_site_fract_y
_atom_site_fract_z
Ac1 Ac 0.0000 0.0000 0.0000
La1 La 0.0000 0.0000 0.5000
As1 As 0.3333 0.6667 0.2654
Rh1 Rh 0.3333 0.6667 0.7511
```

---

8.
This record from Alexandria via LeMat-Bulk describes a geometry-optimized Ac2LaAs3Rh12 structure. The functional is PBE-GGA.

Computed properties:
* total energy: -6.649 eV per atom
* Fermi-level density of states: 19.5 states/eV/f.u.
* ΔE_f: -0.24 eV/atom
* V: 986.7 Å³ per cell
* crystal system: trigonal

Geometry as CIF:
```
data_Ac2LaAs3Rh12
_cell_length_a 9.3147
_cell_length_b 9.3147
_cell_length_c 13.1312
_cell_angle_alpha 90.00
_cell_angle_beta 90.00
_cell_angle_gamma 120.00
_space_group_name_H-M_alt 'R -3 m'
_space_group_IT_number 166
_space_group_name_Hall '-R 3 2"'
loop_
_atom_site_label
_atom_site_type_symbol
_atom_site_fract_x
_atom_site_fract_y
_atom_site_fract_z
Ac1 Ac 0.0000 0.0000 0.1435
La1 La 0.0000 0.0000 0.5000
As1 As 0.0000 0.5000 0.0000
Rh1 Rh 0.0037 0.5019 0.8174
Rh2 Rh 0.0162 0.5081 0.3836
```